Density functional theory data (PBE) for TcRuW2 after structural relaxation.

Structure (POSCAR):
```
TcRuW2
1.0
-2.826 1.158 -0.729
-0.531 -2.470 -1.865
-2.534 -3.125 4.861
Ru Tc W
1 1 2
Direct
0.000 0.000 0.477 Ru
0.500 0.500 0.773 Tc
0.000 0.000 0.992 W
0.500 0.500 0.257 W
```

Computed properties:
energy above the lowest structure with this stoichiometry = 38.7 meV/atom
electronic total energy = -11.23 eV per atom
energy relative to the elements = 0.160 eV/atom